An optimized crystal structure of Pm3InGa. Source: the Alexandria database, functional PBE-GGA.

The structure in POSCAR format:
```
Pm3InGa
1.0
7.5296 0.0000 0.0000
0.0000 7.5296 0.0000
0.0000 0.0000 7.5296
Pm In Ga
9 3 3
Cartesian
3.7648 3.7648 3.7648
1.7589 1.7589 1.7589
5.7707 5.7707 1.7589
5.7707 1.7589 5.7707
1.7589 5.7707 5.7707
1.7589 1.7589 5.7707
5.7707 5.7707 5.7707
1.7589 5.7707 1.7589
5.7707 1.7589 1.7589
0.0000 3.7648 3.7648
3.7648 0.0000 3.7648
3.7648 3.7648 0.0000
3.7648 0.0000 0.0000
0.0000 3.7648 0.0000
0.0000 0.0000 3.7648
```

Properties
- Formation energy: -0.369 eV/atom
- Space group: Pm-3m, No. 221
- Total moment: 0.218 μB/atom